[1]
Density functional theory data (PBE) for a geometry-optimized PuPaInPb structure.

Unit cell a=5.387 b=5.387 c=5.387 alpha=60.00 beta=60.00 gamma=60.00
Site moments in Bohr magnetons follow the coordinates.
Element x y z (fractional)
In: 0.500 0.500 0.500  0.01
Pu: 0.250 0.250 0.250  5.53
Pa: 0.750 0.750 0.750  1.26
Pb: 0.000 0.000 0.000  0.00

As for the formation energy: 0.103 eV/atom. The value obtained for the total energy is -7.47 eV/atom. The density of states at the Fermi level comes out at 17.2 states/eV/cell.

=====

[2]
Density functional theory data (PBE) for a geometry-optimized PaInPb2Se6 structure.

Unit cell a=5.778 b=7.499 c=7.499 alpha=90.00 beta=90.00 gamma=90.00
Element x y z (fractional)
In: 0.568 0.000 0.000
Se: 0.723 0.245 0.755
Se: 0.723 0.755 0.245
Se: 0.141 0.000 0.000
Se: 0.723 0.755 0.755
Se: 0.188 0.500 0.500
Se: 0.723 0.245 0.245
Pa: 0.662 0.500 0.500
Pb: 0.997 0.500 0.000
Pb: 0.997 0.000 0.500

The value obtained for the total energy is -4.67 eV/atom.

=====

[3]
Density functional theory data (PBE) for a geometry-optimized PaInSnPb structure.

Unit cell a=4.751 b=4.533 c=4.813 alpha=90.00 beta=90.00 gamma=90.00
Element x y z (fractional)
Pb: 0.500 0.000 0.500
Sn: 0.000 0.000 0.000
Pa: 0.500 0.500 0.000
In: 0.000 0.500 0.500

As for the formation energy: -0.162 eV/atom. The value obtained for the total energy is -5.15 eV/atom. The density of states at the Fermi level comes out at 4.3 states/eV/cell.

=====

[4]
Density functional theory data (PBE) for a geometry-optimized TbPaInPb structure.

Unit cell a=5.388 b=5.388 c=5.388 alpha=60.00 beta=60.00 gamma=60.00
Site moments in Bohr magnetons follow the coordinates.
Element x y z (fractional)
Pa: 0.250 0.250 0.250  1.21
Pb: 0.000 0.000 0.000  0.02
In: 0.500 0.500 0.500  0.02
Tb: 0.750 0.750 0.750  0.28

As for the formation energy: -0.060 eV/atom. The value obtained for the total energy is -5.20 eV/atom. The density of states at the Fermi level comes out at 8.3 states/eV/cell.